A plane-wave DFT calculation with PBE was carried out for a relaxed InOsBr2 crystal.

- calculated density (g/cm3) = 7.6
- offset from the most stable computed form (meV per atom) = 290
- calculated total energy (eV for the cell shown) = -15.4
- SG = Cmm2 (35)
- D(E_F) (states/eV per cell) = 2.8

POSCAR file:
```
InOsBr2
1.0
3.5519 0.0009 0.0000
-1.9584 2.9633 0.0000
0.0000 0.0000 9.6542
Br In Os
2 1 1
direct
0.5000 0.5000 0.3019
0.0000 0.0000 0.9305
0.0000 0.0000 0.5242
0.5000 0.5000 0.7435
```

---

A plane-wave DFT calculation with PBE was carried out for a relaxed MgHgBr crystal.

- calculated density (g/cm3) = 5.7
- offset from the most stable computed form (meV per atom) = 286
- calculated total energy (eV for the cell shown) = -4.6
- SG = F-43m (216)
- D(E_F) (states/eV per cell) = 1.1

POSCAR file:
```
MgHgBr
1.0
-4.6065 0.5549 -1.8484
-3.2123 -3.8228 0.1102
-3.9286 0.1274 3.0813
Br Mg Hg
1 1 1
direct
0.0000 0.0000 0.0000
0.2500 0.2500 0.2500
0.5000 0.5000 0.5000
```

---

A plane-wave DFT calculation with PBE was carried out for a relaxed CeErCuPd crystal.

- calculated density (g/cm3) = 9.1
- calculated total energy (eV for the cell shown) = -21.6
- SG = F-43m (216)
- calculated formation energy (eV/atom) = -0.444
- D(E_F) (states/eV per cell) = 6.6

POSCAR file:
```
CeErCuPd
1.0
-3.2585 1.3821 3.5030
-3.9911 -2.8254 0.9420
-0.2962 -2.5469 4.2690
Ce Er Cu Pd
1 1 1 1
direct
0.5000 0.5000 0.5000
0.0000 0.0000 0.0000
0.2500 0.2500 0.2500
0.7500 0.7500 0.7500
```

---

A plane-wave DFT calculation with PBE was carried out for a relaxed DyCu4Au crystal.

- calculated density (g/cm3) = 11.2
- calculated total energy (eV for the cell shown) = -26.2
- SG = F-43m (216)
- calculated formation energy (eV/atom) = -0.323
- D(E_F) (states/eV per cell) = 6.5

POSCAR file:
```
DyCu4Au
1.0
5.0436 0.0000 0.0000
2.5218 4.3679 0.0000
2.5218 1.4560 4.1181
Cu Au Dy
4 1 1
direct
0.6258 0.1225 0.6258
0.6258 0.6258 0.1225
0.1225 0.6258 0.6258
0.6258 0.6258 0.6258
0.0000 0.0000 0.0000
0.2500 0.2500 0.2500
```

---

Repeat the second record exactly.
A plane-wave DFT calculation with PBE was carried out for a relaxed MgHgBr crystal.

- calculated density (g/cm3) = 5.7
- offset from the most stable computed form (meV per atom) = 286
- calculated total energy (eV for the cell shown) = -4.6
- SG = F-43m (216)
- D(E_F) (states/eV per cell) = 1.1

POSCAR file:
```
MgHgBr
1.0
-4.6065 0.5549 -1.8484
-3.2123 -3.8228 0.1102
-3.9286 0.1274 3.0813
Br Mg Hg
1 1 1
direct
0.0000 0.0000 0.0000
0.2500 0.2500 0.2500
0.5000 0.5000 0.5000
```

---

Which of these has the lowest calculated total energy?
DyCu4Au

---

Copy entry 1 word for word.
A plane-wave DFT calculation with PBE was carried out for a relaxed InOsBr2 crystal.

- calculated density (g/cm3) = 7.6
- offset from the most stable computed form (meV per atom) = 290
- calculated total energy (eV for the cell shown) = -15.4
- SG = Cmm2 (35)
- D(E_F) (states/eV per cell) = 2.8

POSCAR file:
```
InOsBr2
1.0
3.5519 0.0009 0.0000
-1.9584 2.9633 0.0000
0.0000 0.0000 9.6542
Br In Os
2 1 1
direct
0.5000 0.5000 0.3019
0.0000 0.0000 0.9305
0.0000 0.0000 0.5242
0.5000 0.5000 0.7435
```